Compound: Ba6NaZn
Source: Alexandria via LeMat-Bulk
Functional: PBE-GGA
Structure: relaxed

a b c (Å): 8.3573 8.3707 9.2201
angles (deg): 63.05 63.19 60.06
Fractional coordinates of all 8 atoms:
Ba  0.0451  0.4198  0.2597
Ba  0.2253  0.9557  0.7400
Ba  0.4190  0.7749  0.2603
Ba  0.5810  0.2251  0.7397
Ba  0.7747  0.0443  0.2600
Ba  0.9549  0.5802  0.7403
Na  0.5000  0.5000  0.0000
Zn  0.0000  0.0000  0.5000

Properties
calculated total energy: -13.44 eV for the cell shown
density: 3.18 g/cm³
N(E_F): 12.37 states/eV/f.u.
polymorph energy (0 for the lowest one): 87 meV/atom
volume: 476.67 Å³/cell
magnetic moment: 0.00 μB/atom